Entry 1:
V2PdRh2 PBE relaxed; space group = No. 59; E above lowest polymorph = 54.4 meV/atom
1.0
2.741 0.000 0.000
0.000 4.306 0.208
0.000 -0.585 12.048
Rh V Pd
4 4 2
Cartesian
0.685 2.730 10.472
2.056 2.960 5.707
2.056 0.991 1.784
0.685 0.761 6.549
2.056 0.870 4.288
0.685 2.851 7.968
2.056 3.199 0.763
0.685 0.522 11.493
0.685 3.080 3.204
2.056 0.641 9.052

***

Entry 2:
V4Pd2Rh PBE relaxed; space group = No. 139
1.0
-4.493 0.094 0.801
-0.661 -3.021 -3.359
-1.939 -6.207 2.861
V Rh Pd
4 1 2
Cartesian
-0.331 -1.510 -1.679
-2.247 0.047 0.400
-2.185 -4.379 1.266
-4.909 -4.755 -0.963
0.000 0.000 0.000
-2.435 -2.517 -0.359
-4.658 -6.617 0.663

***

Entry 3:
VPdRh PBE relaxed; space group = No. 156; E above lowest polymorph = 136.8 meV/atom
1.0
-0.349 -2.550 -0.725
-0.275 -1.140 4.144
-3.553 1.103 -2.170
Rh Pd V
1 1 1
Cartesian
-2.700 -1.395 -0.563
-1.443 -0.943 1.883
-0.034 -0.250 -0.071

***

Entry 4:
V3PdRh6 PBE relaxed; space group = No. 11; E above lowest polymorph = 0.0 meV/atom
1.0
-0.588 -2.762 -3.271
-1.909 -5.173 4.712
-7.459 5.432 -3.248
Rh V Pd
12 6 2
Cartesian
-6.762 3.670 -3.312
-6.453 -0.434 0.098
-3.503 -2.069 -1.905
-1.687 -0.645 -0.579
-8.269 -1.858 -1.227
-4.175 0.443 -1.051
-8.392 0.194 -2.938
-3.748 -3.681 2.355
-1.563 -2.698 1.132
-3.193 -6.173 1.505
-6.208 1.178 -4.161
-5.780 -2.946 -0.755
-1.083 -3.112 -1.459
-6.559 1.640 -1.634
-3.396 -4.143 -0.172
-8.873 0.608 -0.347
-3.974 -1.552 0.597
-5.982 -0.951 -2.404
-3.732 0.093 -3.690
-6.224 -2.596 1.884

***

Entry 5:
VPd4Rh PBE relaxed; space group = No. 11
1.0
-2.519 -4.892 0.977
2.160 -0.490 3.108
-4.803 1.123 8.206
Pd V Rh
8 2 2
Cartesian
-3.467 -3.728 7.681
-2.222 -1.292 7.202
-2.312 -2.180 2.434
-4.188 -0.030 8.768
-2.939 -2.968 5.089
-2.849 -2.080 9.856
-1.694 -0.532 4.609
-0.973 -4.230 3.522
-5.322 -2.667 9.137
0.161 -1.593 3.154
-1.164 0.204 2.013
-3.997 -4.464 10.278

***

Entry 6:
VPd3Rh PBE relaxed; space group = No. 13; E above lowest polymorph = 0.0 meV/atom
1.0
4.765 -1.455 0.000
-2.139 5.096 0.000
0.000 0.000 7.333
Pd V Rh
6 2 2
Cartesian
1.317 3.597 2.889
2.622 1.863 4.444
0.000 0.000 6.511
1.309 0.043 2.889
0.004 1.777 4.444
1.313 1.820 0.822
0.243 4.368 5.381
-1.069 2.548 1.952
2.382 -0.728 0.616
-1.069 2.548 6.717

***

Entry 7:
V5PdRh4 PBE relaxed; space group = No. 123; E above lowest polymorph = 0.0 meV/atom
1.0
2.734 0.000 0.000
0.000 2.734 0.000
0.000 0.000 18.515
V Rh Pd
5 4 1
Cartesian
1.367 1.367 1.951
1.367 1.367 12.921
1.367 1.367 9.258
1.367 1.367 5.594
1.367 1.367 16.564
0.000 0.000 14.764
0.000 0.000 7.435
0.000 0.000 3.752
0.000 0.000 11.080
0.000 0.000 0.000

***

Entry 8:
V3PdRh PBE relaxed; space group = No. 221; E above lowest polymorph = 1024.2 meV/atom
1.0
-2.976 -0.838 3.288
3.392 -0.686 2.896
-0.038 4.381 1.082
Rh V Pd
1 3 1
Cartesian
0.000 0.000 0.000
-1.488 -0.419 1.644
-0.019 2.190 0.541
1.696 -0.343 1.448
0.189 1.428 3.633

***

| no. | energy of formation from the pure elements (eV per atom) |
| --- | --- |
| 1 | -0.215 |
| 2 | 0.715 |
| 3 | -0.176 |
| 4 | -0.324 |
| 5 | -0.154 |
| 6 | 0.016 |
| 7 | -0.331 |
| 8 | 0.993 |